Record 1
Computed, not measured: crystalline Tm5CuTe3 at its relaxed geometry at the PBE-GGA level of DFT.

a b c (Å): 8.4961 8.4961 3.8451
angles (deg): 90.00 90.00 120.00
Last column: nearest neighbours and their distance in Å.
Space group P-62m (No. 189)
Symmetry-distinct sites (fractional):
Tm  0.0000  0.2325  0.0000 x3  2 Cu 2.76
Tm  0.3333  0.6667  0.0000 x2  6 Te 3.16, 3 Tm 3.34
Cu  0.0000  0.0000  0.5000 x1  6 Tm 2.76
Te  0.0000  0.5619  0.5000 x3  6 Tm 3.16-3.40

crystal system	hexagonal
E_tot	-39.87	eV/cell

---

Record 2
Computed, not measured: crystalline CsDyNiS3 at its relaxed geometry at the PBE-GGA level of DFT.

a b c (Å): 9.3342 3.9501 9.6050
angles (deg): 90.00 111.68 90.00
Last column: nearest neighbours and their distance in Å.
Space group P2_1/m (No. 11)
Symmetry-distinct sites (fractional):
Cs  0.2170  0.2500  0.2500 x2  7 S 3.49-3.66
Dy  0.3277  0.7500  0.8633 x2  6 S 2.69-2.82
Ni  0.0758  0.2500  0.5997 x2  4 S 2.20-2.28
S  0.1212  0.2500  0.8503 x2  1 Ni 2.28
S  0.1688  0.7500  0.5506 x2  3 Ni 2.20-2.28
S  0.4794  0.7500  0.1616 x2  3 Dy 2.69-2.74

crystal system	monoclinic
E_tot	-62.53	eV/cell